# PaCuN2 (PBE, relaxed)
# * energy: -8.618 eV/atom
# * total moment: 0.00 μB per atom
# * uncorrected formation energy: -1057 meV/atom
data_PaCuN2
_cell_length_a 6.300
_cell_length_b 6.140
_cell_length_c 6.768
_cell_angle_alpha 90.00
_cell_angle_beta 120.09
_cell_angle_gamma 90.00
_space_group_name_H-M_alt 'P 1 21/c 1'
_space_group_IT_number 14
_space_group_name_Hall '-P 2ybc'
loop_
_atom_site_label
_atom_site_type_symbol
_atom_site_fract_x
_atom_site_fract_y
_atom_site_fract_z
Pa1 Pa 0.234 0.136 0.259
Cu1 Cu 0.267 0.651 0.191
N1 N 0.004 0.165 0.861
N2 N 0.442 0.099 0.667